Run w
4
Lattice="1.848 1.067 10.206 -1.848 1.067 10.206 0.000 -2.133 10.206" Properties=species:S:1:pos:R:3 comment="PrY2S | Alexandria via LeMat-Bulk | GGA-PBE | relaxed" rho_g_cm3=4.827 total_magnetization_mub_per_cell=0.00 pbc="T T T"
Pr 0.000 0.000 0.000
Y 0.000 0.000 3.470
Y 0.000 0.000 27.147
S 0.000 0.000 15.309

---

Run x
4
Lattice="1.879 1.085 9.445 -1.879 1.085 9.445 0.000 -2.169 9.445" Properties=species:S:1:pos:R:3 comment="PrY2S | Alexandria via LeMat-Bulk | GGA-PBE | relaxed" rho_g_cm3=5.043 total_magnetization_mub_per_cell=0.11 pbc="T T T"
Pr 0.000 0.000 0.000
Y 0.000 0.000 15.844
Y 0.000 0.000 21.945
S 0.000 0.000 4.729

---

Which of them is most stable? Easy: run x.

---

Run w
15
Lattice="3.933 2.271 7.414 -3.933 2.271 7.414 0.000 -4.542 7.414" Properties=species:S:1:pos:R:3 comment="Pr4Y3S8 | Alexandria via LeMat-Bulk | GGA-PBE | relaxed" rho_g_cm3=4.542 total_magnetization_mub_per_cell=0.00 pbc="T T T"
Pr 0.000 0.000 0.000
Pr 0.000 0.000 3.306
Pr 0.000 0.000 11.121
Pr 0.000 0.000 18.936
Y -1.967 -1.135 7.414
Y -1.967 1.135 14.828
Y 0.000 2.271 7.414
S 0.000 -2.215 9.161
S -1.918 1.108 9.161
S -1.918 -1.108 13.081
S 0.000 0.000 6.024
S 0.000 0.000 16.217
S 1.918 1.108 9.161
S 1.918 -1.108 13.081
S 0.000 2.215 13.081

---

Run x
15
Lattice="5.675 -5.679 0.000 5.675 5.679 0.000 -5.653 0.000 5.682" Properties=species:S:1:pos:R:3 comment="Pr4Y3S8 | Alexandria via LeMat-Bulk | GGA-PBE | relaxed" rho_g_cm3=4.928 total_magnetization_mub_per_cell=0.00 pbc="T T T"
Pr 0.000 0.000 0.000
Pr 2.838 2.839 0.000
Pr 2.838 -2.839 0.000
Pr 2.849 0.000 2.841
Y 0.011 2.839 2.841
Y 0.011 -2.839 2.841
Y 5.675 0.000 0.000
S 2.849 2.885 2.841
S -0.038 0.000 2.903
S -2.749 0.000 5.641
S 5.675 2.777 0.000
S 5.675 -2.777 0.000
S 8.446 0.000 0.041
S 5.735 0.000 2.778
S 2.849 -2.885 2.841

---

Which of them is most stable? Easy: run x.

---

Run w
8
Lattice="4.008 -5.614 0.000 4.008 5.614 0.000 0.000 0.000 3.926" Properties=species:S:1:pos:R:3 comment="PrY3S4 | Alexandria via LeMat-Bulk | GGA-PBE | relaxed" rho_g_cm3=5.036 total_magnetization_mub_per_cell=0.00 pbc="T T T"
Pr 0.000 0.000 0.000
Y 2.004 2.807 1.963
Y 2.004 -2.807 1.963
Y 4.008 0.000 0.000
S 4.008 2.744 0.000
S 2.098 0.000 1.963
S 5.918 0.000 1.963
S 4.008 -2.744 0.000

---

Run x
8
Lattice="5.618 0.000 0.000 0.000 5.618 0.000 0.000 0.000 5.618" Properties=species:S:1:pos:R:3 comment="PrY3S4 | Alexandria via LeMat-Bulk | GGA-PBE | relaxed" rho_g_cm3=5.019 total_magnetization_mub_per_cell=0.00 pbc="T T T"
Pr 0.000 0.000 0.000
Y 0.000 2.809 2.809
Y 2.809 0.000 2.809
Y 2.809 2.809 0.000
S 0.000 0.000 2.809
S 0.000 2.809 0.000
S 2.809 0.000 0.000
S 2.809 2.809 2.809

---

Which of them is most stable? Easy: run w.

---

Run w
4
Lattice="2.049 1.183 7.338 -2.049 1.183 7.338 0.000 -2.366 7.338" Properties=species:S:1:pos:R:3 comment="Pr2ZnS | Alexandria via LeMat-Bulk | GGA-PBE | relaxed" rho_g_cm3=5.900 total_magnetization_mub_per_cell=0.00 pbc="T T T"
Pr 0.000 0.000 5.331
Pr 0.000 0.000 16.683
Zn 0.000 0.000 0.000
S 0.000 0.000 11.007

---

Run x
4
Lattice="2.013 1.162 7.686 -2.013 1.162 7.686 0.000 -2.324 7.686" Properties=species:S:1:pos:R:3 comment="Pr2ZnS | Alexandria via LeMat-Bulk | GGA-PBE | relaxed" rho_g_cm3=5.840 total_magnetization_mub_per_cell=0.00 pbc="T T T"
Pr 0.000 0.000 0.000
Pr 0.000 0.000 4.317
Zn 0.000 0.000 9.845
S 0.000 0.000 13.735

---

Run y
8
Lattice="2.018 -11.980 0.000 2.018 11.980 0.000 0.000 0.000 4.273" Properties=species:S:1:pos:R:3 comment="Pr2ZnS | Alexandria via LeMat-Bulk | GGA-PBE | relaxed" rho_g_cm3=6.096 total_magnetization_mub_per_cell=0.00 pbc="T T T"
Pr 2.018 10.219 3.205
Pr 2.018 4.525 3.205
Pr 2.018 -4.525 1.068
Pr 2.018 -10.219 1.068
Zn 2.018 0.865 3.205
Zn 2.018 -0.865 1.068
S 2.018 7.371 3.205
S 2.018 -7.371 1.068

---

Which of them is most stable? Easy: run y.

---

Run w
4
Lattice="1.972 1.139 8.327 -1.972 1.139 8.327 0.000 -2.277 8.327" Properties=species:S:1:pos:R:3 comment="PrZrS2 | Alexandria via LeMat-Bulk | GGA-PBE | relaxed" rho_g_cm3=4.385 total_magnetization_mub_per_cell=0.00 pbc="T T T"
Pr 0.000 0.000 0.000
Zr 0.000 0.000 12.491
S 0.000 0.000 10.008
S 0.000 0.000 14.974

---

Run x
4
Lattice="1.908 1.102 6.739 -1.908 1.102 6.739 0.000 -2.203 6.739" Properties=species:S:1:pos:R:3 comment="PrZrS2 | Alexandria via LeMat-Bulk | GGA-PBE | relaxed" rho_g_cm3=5.788 total_magnetization_mub_per_cell=0.00 pbc="T T T"
Pr 0.000 0.000 0.000
Zr 0.000 0.000 3.573
S 0.000 0.000 11.712
S 0.000 0.000 15.470

---

Which of them is most stable? Easy: run x.

---

Run w
10
Lattice="6.861 0.000 0.000 -3.431 5.942 0.000 0.000 0.000 6.735" Properties=species:S:1:pos:R:3 comment="PrZrS3 | Alexandria via LeMat-Bulk | GGA-PBE | relaxed" rho_g_cm3=3.971 total_magnetization_mub_per_cell=0.00 pbc="T T T"
Pr 0.000 0.000 0.000
Pr 0.000 0.000 3.368
Zr 0.000 3.961 0.000
Zr 0.000 3.961 3.368
S -0.867 2.139 1.684
S -2.011 4.121 5.051
S 0.867 2.139 5.051
S -1.144 5.623 1.684
S 2.011 4.121 1.684
S 1.144 5.623 5.051

---

Run x
20
Lattice="8.273 0.000 0.000 0.000 3.770 0.000 0.000 0.000 14.038" Properties=species:S:1:pos:R:3 comment="PrZrS3 | Alexandria via LeMat-Bulk | GGA-PBE | relaxed" rho_g_cm3=4.981 total_magnetization_mub_per_cell=0.00 pbc="T T T"
Pr 1.049 0.942 2.694
Pr 3.087 2.827 9.713
Pr 5.186 0.942 4.325
Pr 7.224 2.827 11.344
Zr 1.409 2.827 6.429
Zr 2.728 0.942 13.448
Zr 5.545 2.827 0.590
Zr 6.864 0.942 7.609
S 0.081 2.827 8.640
S 1.340 2.827 0.545
S 1.349 0.942 11.218
S 2.788 2.827 4.199
S 2.796 0.942 7.564
S 4.055 0.942 1.621
S 4.218 2.827 12.417
S 5.477 2.827 6.474
S 5.485 0.942 9.839
S 6.924 2.827 2.820
S 6.932 0.942 13.493
S 8.191 0.942 5.398

---

Which of them is most stable? Easy: run x.

---

Run w
8
Lattice="6.669 0.000 0.000 0.000 4.210 0.000 -1.612 0.000 9.748" Properties=species:S:1:pos:R:3 comment="Pr3Sb | Alexandria via LeMat-Bulk | GGA-PBE | relaxed" rho_g_cm3=6.607 total_magnetization_mub_per_cell=0.00 pbc="T T T"
Pr -0.037 1.052 3.422
Pr 1.664 3.157 0.832
Pr 1.641 3.157 6.147
Pr 3.416 1.052 3.601
Pr 3.393 1.052 8.916
Pr 5.094 3.157 6.326
Sb 0.085 1.052 8.195
Sb 4.972 3.157 1.553

---

Run x
4
Lattice="4.971 0.000 0.000 0.000 4.971 0.000 0.000 0.000 4.971" Properties=species:S:1:pos:R:3 comment="Pr3Sb | Alexandria via LeMat-Bulk | GGA-PBE | relaxed" rho_g_cm3=7.361 total_magnetization_mub_per_cell=0.00 pbc="T T T"
Pr 0.000 0.000 2.485
Pr 0.000 2.485 0.000
Pr 2.485 0.000 0.000
Sb 2.485 2.485 2.485

---

Run y
32
Lattice="12.976 0.000 0.000 0.000 12.976 0.000 0.000 0.000 6.337" Properties=species:S:1:pos:R:3 comment="Pr3Sb | Alexandria via LeMat-Bulk | GGA-PBE | relaxed" rho_g_cm3=6.778 total_magnetization_mub_per_cell=0.00 pbc="T T T"
Pr 0.420 12.028 1.573
Pr 0.948 6.908 4.742
Pr 1.422 3.607 0.145
Pr 1.813 10.806 4.607
Pr 2.171 8.301 1.439
Pr 2.881 1.422 3.024
Pr 3.607 5.066 3.024
Pr 4.317 11.164 1.439
Pr 4.676 8.659 4.607
Pr 5.066 2.881 0.145
Pr 5.540 12.557 4.742
Pr 6.069 7.436 1.573
Pr 6.908 5.540 4.764
Pr 7.436 0.420 1.595
Pr 7.910 10.095 6.193
Pr 8.301 4.317 1.730
Pr 8.659 1.813 4.899
Pr 9.369 7.910 3.313
Pr 10.095 11.554 3.313
Pr 10.806 4.676 4.899
Pr 11.164 2.171 1.730
Pr 11.554 9.369 6.193
Pr 12.028 6.069 1.595
Pr 12.557 0.948 4.764
Sb 0.627 3.795 3.357
Sb 2.693 0.627 6.149
Sb 3.795 5.862 6.149
Sb 5.862 2.693 3.357
Sb 7.115 10.284 2.980
Sb 9.181 7.115 0.188
Sb 10.284 12.350 0.188
Sb 12.350 9.181 2.980

---

Run z
4
Lattice="-2.042 5.560 2.834 2.042 -5.560 2.834 2.042 5.560 -2.834" Properties=species:S:1:pos:R:3 comment="Pr3Sb | Alexandria via LeMat-Bulk | GGA-PBE | relaxed" rho_g_cm3=7.025 total_magnetization_mub_per_cell=0.00 pbc="T T T"
Pr 0.000 0.000 0.000
Pr 2.042 3.102 0.634
Pr 0.000 2.458 3.468
Sb 2.042 0.000 2.607

---

Which of them is most stable? Easy: run y.

---

Run w
16
Lattice="2.843 -7.292 0.000 2.843 7.292 0.000 0.000 0.000 13.773" Properties=species:S:1:pos:R:3 comment="Pr2SbSe5 | Alexandria via LeMat-Bulk | GGA-PBE | relaxed" rho_g_cm3=4.643 total_magnetization_mub_per_cell=0.00 pbc="T T T"
Pr 2.843 4.975 7.862
Pr 2.843 4.975 12.797
Pr 2.843 -4.975 0.976
Pr 2.843 -4.975 5.911
Sb 2.843 4.936 3.443
Sb 2.843 -4.936 10.330
Se 2.843 6.694 1.435
Se 2.843 6.694 5.451
Se 2.843 3.147 10.330
Se 2.843 3.000 1.286
Se 2.843 3.000 5.601
Se 2.843 -3.000 8.172
Se 2.843 -3.000 12.487
Se 2.843 -3.147 3.443
Se 2.843 -6.694 8.321
Se 2.843 -6.694 12.338

---

Run x
16
Lattice="8.190 0.000 0.000 0.000 12.120 0.000 0.000 0.000 4.222" Properties=species:S:1:pos:R:3 comment="Pr2SbSe5 | Alexandria via LeMat-Bulk | GGA-PBE | relaxed" rho_g_cm3=6.327 total_magnetization_mub_per_cell=0.00 pbc="T T T"
Pr 0.382 2.107 0.000
Pr 3.713 8.167 0.000
Pr 4.477 3.953 0.000
Pr 7.808 10.012 0.000
Sb 0.000 6.060 2.111
Sb 4.095 0.000 2.111
Se 0.000 0.000 2.111
Se 1.393 8.501 2.111
Se 1.502 5.001 0.000
Se 2.593 11.060 0.000
Se 2.702 2.441 2.111
Se 4.095 6.060 2.111
Se 5.489 9.678 2.111
Se 5.597 1.059 0.000
Se 6.688 7.119 0.000
Se 6.797 3.618 2.111

---

Which of them is most stable? Easy: run x.

---

Run w
10
Lattice="4.228 0.000 0.000 0.000 10.571 3.707 0.000 -10.571 3.707" Properties=species:S:1:pos:R:3 comment="PrSbSe3 | Alexandria via LeMat-Bulk | GGA-PBE | relaxed" rho_g_cm3=5.007 total_magnetization_mub_per_cell=0.00 pbc="T T T"
Pr 1.057 -7.063 3.707
Pr 3.171 7.063 3.707
Sb 1.057 -3.214 3.759
Sb 3.171 3.214 3.759
Se 1.057 1.872 2.562
Se 1.057 -1.922 6.096
Se 1.057 5.294 4.976
Se 3.171 -1.872 2.562
Se 3.171 -5.294 4.976
Se 3.171 1.922 6.096

---

Run x
20
Lattice="8.138 0.000 0.000 0.000 4.299 0.000 0.000 0.000 15.187" Properties=species:S:1:pos:R:3 comment="PrSbSe3 | Alexandria via LeMat-Bulk | GGA-PBE | relaxed" rho_g_cm3=6.245 total_magnetization_mub_per_cell=0.00 pbc="T T T"
Pr 0.641 1.075 2.277
Pr 3.427 3.225 9.871
Pr 4.710 1.075 5.317
Pr 7.496 3.225 12.910
Sb 0.954 3.225 6.552
Sb 3.115 1.075 14.146
Sb 5.023 3.225 1.042
Sb 7.184 1.075 8.635
Se 0.299 3.225 9.961
Se 1.352 3.225 0.156
Se 1.461 1.075 12.118
Se 2.608 3.225 4.525
Se 2.717 1.075 7.750
Se 3.770 1.075 2.368
Se 4.368 3.225 12.820
Se 5.421 3.225 7.437
Se 5.530 1.075 10.663
Se 6.677 3.225 3.069
Se 6.786 1.075 15.031
Se 7.839 1.075 5.226

---

Which of them is most stable? Easy: run x.